Entry 1:
DFT (PBE-GGA) results for a relaxed structure of NbAsN2F.

abc: 3.955 3.955 5.440
angles: 90.00 90.00 90.00
Element x y z (fractional)
Nb 0.000 0.000 0.000
As 0.000 0.000 0.500
N 0.000 0.500 0.000
N 0.500 0.000 0.000
F 0.500 0.500 0.500

Results
excess energy over the best structure of this formula in the dataset	0.418	eV per atom
total energy	-31.6	eV/cell
magnetization	0.016	μB per formula unit
DOS at the Fermi energy	0.9797	states/eV per atom
formation energy (no corrections)	332	meV/atom

---

Entry 2:
DFT (PBE-GGA) results for a relaxed structure of Hf2ScAlI.

abc: 5.195 5.195 5.115
angles: 90.00 90.00 90.00
Element x y z (fractional)
Hf 0.000 0.500 0.000
Hf 0.500 0.000 0.000
Sc 0.000 0.000 0.500
Al 0.500 0.500 0.500
I 0.000 0.000 0.000

Results
total energy	-26.5	eV/cell
magnetization	0.000	μB per formula unit
DOS at the Fermi energy	1.0702	states/eV per atom
formation energy (no corrections)	1001	meV/atom